1.
A plane-wave DFT calculation with PBE was carried out for crystalline LaPuCdGe at its relaxed geometry.

Cell lengths 7.5250, 7.5250, 7.5250 Å; angles 90.00, 90.00, 90.00 degrees
Closest atoms and distances in Å follow each position.
Fractional positions:
La1 0.0000 0.0000 0.0000  4 Cd 3.26, 4 Ge 3.26
La2 0.0000 0.5000 0.5000  4 Cd 3.26, 4 Ge 3.26
La3 0.5000 0.0000 0.5000  4 Cd 3.26, 4 Ge 3.26
La4 0.5000 0.5000 0.0000  4 Cd 3.26, 4 Ge 3.26
Pu1 0.0000 0.0000 0.5000  4 Ge 3.26, 4 Cd 3.26
Pu2 0.0000 0.5000 0.0000  4 Ge 3.26, 4 Cd 3.26
Pu3 0.5000 0.0000 0.0000  4 Ge 3.26, 4 Cd 3.26
Pu4 0.5000 0.5000 0.5000  4 Ge 3.26, 4 Cd 3.26
Cd1 0.2500 0.2500 0.7500  4 Pu 3.26, 4 La 3.26
Cd2 0.2500 0.7500 0.2500  4 Pu 3.26, 4 La 3.26
Cd3 0.7500 0.2500 0.2500  4 Pu 3.26, 4 La 3.26
Cd4 0.7500 0.7500 0.7500  4 Pu 3.26, 4 La 3.26
Ge1 0.2500 0.2500 0.2500  4 La 3.26, 4 Pu 3.26
Ge2 0.2500 0.7500 0.7500  4 La 3.26, 4 Pu 3.26
Ge3 0.7500 0.2500 0.7500  4 La 3.26, 4 Pu 3.26
Ge4 0.7500 0.7500 0.2500  4 La 3.26, 4 Pu 3.26

## Properties
energy relative to the elements = -0.317 eV/atom
space-group type = F-43m (216)



2.
A plane-wave DFT calculation with PBE was carried out for crystalline Ce2Ho3N4 at its relaxed geometry.

Cell lengths 6.0413, 6.0413, 8.6822 Å; angles 117.39, 117.39, 33.26 degrees
Closest atoms and distances in Å follow each position.
Fractional positions:
Ce1 0.1035 0.1035 0.3898  4 N 2.39-2.64
Ce2 0.8965 0.8965 0.6102  4 N 2.39-2.64
Ho1 0.2918 0.2918 0.1844  5 N 2.37-2.47
Ho2 0.5000 0.5000 0.0000  6 N 2.44-2.47
Ho3 0.7082 0.7082 0.8156  5 N 2.37-2.47
N1 0.1031 0.1031 0.9031  5 Ho 2.37-2.47, 1 Ce 2.52
N2 0.3054 0.3054 0.7097  3 Ce 2.39-2.64, 3 Ho 2.44-2.47
N3 0.6946 0.6946 0.2903  3 Ce 2.39-2.64, 3 Ho 2.44-2.47
N4 0.8969 0.8969 0.0969  5 Ho 2.37-2.47, 1 Ce 2.52

## Properties
energy relative to the elements, uncorrected = -136 kJ per mole of atoms
space-group type = C2/m (12)



3.
A plane-wave DFT calculation with PBE was carried out for crystalline GeTe2HI at its relaxed geometry.

Cell lengths 5.4759, 5.4759, 5.8858 Å; angles 90.00, 90.00, 90.00 degrees
Closest atoms and distances in Å follow each position.
Fractional positions:
Ge1 0.0000 0.0000 0.0000  4 Te 2.74, 2 I 2.94
Te1 0.0000 0.5000 0.0000  2 Ge 2.74
Te2 0.5000 0.0000 0.0000  2 Ge 2.74
H1 0.5000 0.5000 0.5000  4 I 3.87, 8 Te 4.02
I1 0.0000 0.0000 0.5000  2 Ge 2.94

## Properties
ΔE to the lowest computed polymorph = 0.304 eV per atom
space-group type = P4/mmm (123)



4.
A plane-wave DFT calculation with PBE was carried out for crystalline NdRhPbAu at its relaxed geometry.

Cell lengths 7.0952, 7.0952, 7.0952 Å; angles 90.00, 90.00, 90.00 degrees
Closest atoms and distances in Å follow each position.
Fractional positions:
Nd1 0.0000 0.0000 0.0000  4 Au 3.07, 4 Rh 3.07
Nd2 0.0000 0.5000 0.5000  4 Au 3.07, 4 Rh 3.07
Nd3 0.5000 0.0000 0.5000  4 Au 3.07, 4 Rh 3.07
Nd4 0.5000 0.5000 0.0000  4 Au 3.07, 4 Rh 3.07
Rh1 0.2500 0.2500 0.2500  4 Nd 3.07, 4 Pb 3.07
Rh2 0.2500 0.7500 0.7500  4 Nd 3.07, 4 Pb 3.07
Rh3 0.7500 0.2500 0.7500  4 Nd 3.07, 4 Pb 3.07
Rh4 0.7500 0.7500 0.2500  4 Nd 3.07, 4 Pb 3.07
Pb1 0.0000 0.0000 0.5000  4 Rh 3.07, 4 Au 3.07
Pb2 0.0000 0.5000 0.0000  4 Rh 3.07, 4 Au 3.07
Pb3 0.5000 0.0000 0.0000  4 Rh 3.07, 4 Au 3.07
Pb4 0.5000 0.5000 0.5000  4 Rh 3.07, 4 Au 3.07
Au1 0.2500 0.2500 0.7500  4 Pb 3.07, 4 Nd 3.07
Au2 0.2500 0.7500 0.2500  4 Pb 3.07, 4 Nd 3.07
Au3 0.7500 0.2500 0.2500  4 Pb 3.07, 4 Nd 3.07
Au4 0.7500 0.7500 0.7500  4 Pb 3.07, 4 Nd 3.07

## Properties
energy relative to the elements = -0.423 eV/atom
space-group type = F-43m (216)



5.
A plane-wave DFT calculation with PBE was carried out for crystalline SrNiHg2 at its relaxed geometry.

Cell lengths 3.9467, 5.3337, 9.2050 Å; angles 90.00, 90.00, 90.00 degrees
Closest atoms and distances in Å follow each position.
Fractional positions:
Sr1 0.0000 0.0000 0.0000  8 Hg 3.26-3.37, 4 Ni 3.32
Sr2 0.5000 0.5000 0.5000  8 Hg 3.26-3.37, 4 Ni 3.32
Ni1 0.0000 0.0000 0.5000  4 Hg 2.72
Ni2 0.5000 0.5000 0.0000  4 Hg 2.72
Hg1 0.0000 0.5000 0.2031  2 Ni 2.72
Hg2 0.0000 0.5000 0.7969  2 Ni 2.72
Hg3 0.5000 0.0000 0.2969  2 Ni 2.72
Hg4 0.5000 0.0000 0.7031  2 Ni 2.72

## Properties
energy relative to the elements = -0.105 eV/atom
space-group type = Immm (71)



6.
A plane-wave DFT calculation with PBE was carried out for crystalline SrYGe3 at its relaxed geometry.

Cell lengths 13.8423, 13.8423, 4.0740 Å; angles 90.00, 90.00, 161.44 degrees
Closest atoms and distances in Å follow each position.
Fractional positions:
Sr1 0.0764 0.9236 0.7500  10 Ge 3.31-3.60
Sr2 0.9236 0.0764 0.2500  10 Ge 3.31-3.60
Y1 0.2032 0.7968 0.2500  7 Ge 2.94-3.05
Y2 0.7968 0.2032 0.7500  7 Ge 2.94-3.05
Ge1 0.3107 0.6893 0.2500  2 Ge 2.64, 1 Y 2.94
Ge2 0.3719 0.6281 0.7500  3 Ge 2.64-2.77
Ge3 0.4732 0.5268 0.7500  3 Ge 2.51-2.77
Ge4 0.5268 0.4732 0.2500  3 Ge 2.51-2.77
Ge5 0.6281 0.3719 0.2500  3 Ge 2.64-2.77
Ge6 0.6893 0.3107 0.7500  2 Ge 2.64, 1 Y 2.94

## Properties
energy relative to the elements = -0.620 eV/atom
ΔE to the lowest computed polymorph = 0.000 eV per atom
space-group type = Cmcm (63)



7.
A plane-wave DFT calculation with PBE was carried out for crystalline SrBiAu2 at its relaxed geometry.

Cell lengths 3.5468, 5.3539, 12.1816 Å; angles 90.00, 90.00, 90.00 degrees
Closest atoms and distances in Å follow each position.
Fractional positions:
Sr1 0.0000 0.0000 0.0000  4 Bi 3.21, 2 Au 3.22, 2 Sr 3.55
Sr2 0.5000 0.5000 0.5000  4 Bi 3.21, 2 Au 3.22, 2 Sr 3.55
Bi1 0.0000 0.0000 0.5000  2 Au 2.87, 4 Sr 3.21
Bi2 0.5000 0.5000 0.0000  2 Au 2.87, 4 Sr 3.21
Au1 0.0000 0.0000 0.2643  1 Bi 2.87
Au2 0.0000 0.0000 0.7357  1 Bi 2.87
Au3 0.5000 0.5000 0.2357  1 Bi 2.87
Au4 0.5000 0.5000 0.7643  1 Bi 2.87

## Properties
energy relative to the elements = -0.027 eV/atom
space-group type = Immm (71)



8.
A plane-wave DFT calculation with PBE was carried out for crystalline VAg3Ir at its relaxed geometry.

Cell lengths 4.7642, 4.7642, 4.7642 Å; angles 90.00, 90.00, 90.00 degrees
Closest atoms and distances in Å follow each position.
Fractional positions:
V1 0.0000 0.0000 0.0000  6 Ag 2.38
Ag1 0.0000 0.0000 0.5000  2 V 2.38
Ag2 0.0000 0.5000 0.0000  2 V 2.38
Ag3 0.5000 0.0000 0.0000  2 V 2.38
Ir1 0.5000 0.5000 0.5000  12 Ag 3.37

## Properties
energy relative to the elements = 1.824 eV/atom
ΔE to the lowest computed polymorph = 0.342 eV per atom
space-group type = Pm-3m (221)



| no. | electronic total energy (eV per formula unit) |
| --- | --- |
| 1 | -26.1 |
| 2 | -71.6 |
| 3 | -12.0 |
| 4 | -20.8 |
| 5 | -8.5 |
| 6 | -25.1 |
| 7 | -12.2 |
| 8 | -17.4 |